The following is a PBE calculation of a relaxed W crystal, from Alexandria.

Summary:
The magnetization is 0.0 μB per cell. The value obtained for the relative energy among the computed polymorphs is 8.60 kcal/mol of atoms. The uncorrected energy is -12.58 eV/atom. As for the volume: 17 Å³/cell. The formation energy from the elements comes out at 0.373 eV per atom.

Unit cell a=2.966 b=2.966 c=2.966 alpha=125.92 beta=125.92 gamma=80.01
Atoms (fractional coordinates):
W1 0.000 0.000 0.000